Entry 1:
# DyTe3O8, relaxed, DFT GGA-PBEsol
data_DyTe3O8
_chemical_formula_sum 'Dy4 Te12 O32'
_symmetry_space_group_name_H-M 'C 1 2/c 1'
_symmetry_Int_Tables_number 15
_cell_length_a 12.403
_cell_length_b 5.535
_cell_length_c 10.388
_cell_angle_alpha 90.00
_cell_angle_beta 116.21
_cell_angle_gamma 90.00
loop_
_symmetry_equiv_pos_as_xyz
'x,y,z'
'-x,-y,-z'
'-x,y,-z+1/2'
'x,-y,z+1/2'
'x+1/2,y+1/2,z'
'-x+1/2,-y+1/2,-z'
'-x+1/2,y+1/2,-z+1/2'
'x+1/2,-y+1/2,z+1/2'
loop_
_atom_site_label
_atom_site_fract_x
_atom_site_fract_y
_atom_site_fract_z
Dy1 0.000 0.059 0.250
Te1 0.000 0.500 0.000
Te2 0.222 0.417 0.857
O1 0.084 0.262 0.670
O2 0.105 0.386 0.405
O3 0.113 0.247 0.134
O4 0.178 0.107 0.915
# Total moment = 0.000 μB/atom
# Uncorrected formation energy = -1.59 eV/atom
# Volume = 639.8 Å³ per cell

Entry 2:
# K2Al2Sb3, relaxed, DFT GGA-PBEsol
data_K2Al2Sb3
_chemical_formula_sum 'K16 Al16 Sb24'
_symmetry_space_group_name_H-M 'P 1 21/c 1'
_symmetry_Int_Tables_number 14
_cell_length_a 14.721
_cell_length_b 7.180
_cell_length_c 16.611
_cell_angle_alpha 90.00
_cell_angle_beta 90.59
_cell_angle_gamma 90.00
loop_
_symmetry_equiv_pos_as_xyz
'x,y,z'
'-x,-y,-z'
'-x,y+1/2,-z+1/2'
'x,-y+1/2,z+1/2'
loop_
_atom_site_label
_atom_site_fract_x
_atom_site_fract_y
_atom_site_fract_z
K1 0.056 0.049 0.105
K2 0.150 0.545 0.018
K3 0.359 0.029 0.008
K4 0.427 0.531 0.110
Al1 0.096 0.735 0.261
Al2 0.187 0.213 0.327
Al3 0.317 0.731 0.322
Al4 0.404 0.209 0.270
Sb1 0.023 0.038 0.334
Sb2 0.172 0.555 0.389
Sb3 0.249 0.676 0.674
Sb4 0.252 0.227 0.177
Sb5 0.335 0.049 0.403
Sb6 0.474 0.533 0.325
# Total moment = 0.000 μB/atom
# Uncorrected formation energy = -0.35 eV/atom
# Volume = 1755.6 Å³ per cell

Entry 3:
# Tc2MoPb, relaxed, DFT GGA-PBEsol
data_Tc2MoPb
_chemical_formula_sum 'Tc2 Mo1 Pb1'
_symmetry_space_group_name_H-M 'P 4 m m'
_symmetry_Int_Tables_number 99
_cell_length_a 2.924
_cell_length_b 2.924
_cell_length_c 7.733
_cell_angle_alpha 90.00
_cell_angle_beta 90.00
_cell_angle_gamma 90.00
loop_
_symmetry_equiv_pos_as_xyz
'x,y,z'
'-y,x,z'
'-x,-y,z'
'y,-x,z'
'-x,y,z'
'y,x,z'
'x,-y,z'
'-y,-x,z'
loop_
_atom_site_label
_atom_site_fract_x
_atom_site_fract_y
_atom_site_fract_z
Tc1 0.000 0.000 0.000
Tc2 0.500 0.500 0.208
Mo1 0.000 0.000 0.438
Pb1 0.500 0.500 0.725
# Total moment = 0.000 μB/atom
# Volume = 66.1 Å³ per cell

Entry 4:
# Mg2HS2, relaxed, DFT GGA-PBEsol
data_Mg2HS2
_chemical_formula_sum 'Mg4 H2 S4'
_symmetry_space_group_name_H-M 'I 4/m m m'
_symmetry_Int_Tables_number 139
_symmetry_space_group_name_Hall '-I 4 2'
_cell_length_a 4.561
_cell_length_b 4.561
_cell_length_c 11.516
_cell_angle_alpha 90.00
_cell_angle_beta 90.00
_cell_angle_gamma 90.00
loop_
_atom_site_label
_atom_site_fract_x
_atom_site_fract_y
_atom_site_fract_z
Mg1 0.000 0.000 0.155
H1 0.000 0.000 0.000
S1 0.000 0.500 0.250
# Total moment = 0.000 μB/atom
# Volume = 239.6 Å³ per cell

Entry 5:
# RbNi2BP, relaxed, DFT GGA-PBEsol
data_RbNi2BP
_chemical_formula_sum 'Rb1 Ni2 B1 P1'
_symmetry_space_group_name_H-M 'P 4/m m m'
_symmetry_Int_Tables_number 123
_symmetry_space_group_name_Hall '-P 4 2'
_cell_length_a 4.400
_cell_length_b 4.400
_cell_length_c 4.068
_cell_angle_alpha 90.00
_cell_angle_beta 90.00
_cell_angle_gamma 90.00
loop_
_atom_site_label
_atom_site_fract_x
_atom_site_fract_y
_atom_site_fract_z
Rb1 0.000 0.000 0.000
Ni1 0.000 0.500 0.500
B1 0.500 0.500 0.000
P1 0.500 0.500 0.500
# Total moment = 0.000 μB/atom
# Volume = 78.8 Å³ per cell

Entry 6:
# BaB3Rh, relaxed, DFT GGA-PBEsol
data_BaB3Rh
_chemical_formula_sum 'Ba1 B3 Rh1'
_symmetry_space_group_name_H-M 'P m -3 m'
_symmetry_Int_Tables_number 221
_symmetry_space_group_name_Hall '-P 4 2 3'
_cell_length_a 4.186
_cell_length_b 4.186
_cell_length_c 4.186
_cell_angle_alpha 90.00
_cell_angle_beta 90.00
_cell_angle_gamma 90.00
loop_
_atom_site_label
_atom_site_fract_x
_atom_site_fract_y
_atom_site_fract_z
Ba1 0.000 0.000 0.000
B1 0.000 0.500 0.500
Rh1 0.500 0.500 0.500
# Total moment = 0.000 μB/atom
# Excess energy over the best structure of this formula in the dataset = 0.0 kJ per mole of atoms
# Volume = 73.3 Å³ per cell

Entry 7:
# RbAl2NiBi, relaxed, DFT GGA-PBEsol
data_RbAl2NiBi
_chemical_formula_sum 'Rb1 Al2 Ni1 Bi1'
_symmetry_space_group_name_H-M 'P 4/m m m'
_symmetry_Int_Tables_number 123
_symmetry_space_group_name_Hall '-P 4 2'
_cell_length_a 4.714
_cell_length_b 4.714
_cell_length_c 5.414
_cell_angle_alpha 90.00
_cell_angle_beta 90.00
_cell_angle_gamma 90.00
loop_
_atom_site_label
_atom_site_fract_x
_atom_site_fract_y
_atom_site_fract_z
Rb1 0.000 0.000 0.000
Al1 0.000 0.500 0.500
Ni1 0.500 0.500 0.500
Bi1 0.500 0.500 0.000
# Total moment = 0.000 μB/atom
# Volume = 120.3 Å³ per cell

Entry 8:
# Na3Fe2Mo5O16, relaxed, DFT GGA-PBEsol
data_Na3Fe2Mo5O16
_chemical_formula_sum 'Na6 Fe4 Mo10 O32'
_symmetry_space_group_name_H-M 'P -3 m 1'
_symmetry_Int_Tables_number 164
_symmetry_space_group_name_Hall '-P 3 2"'
_cell_length_a 5.6248
_cell_length_b 5.6248
_cell_length_c 21.3290
_cell_angle_alpha 90.00
_cell_angle_beta 90.00
_cell_angle_gamma 120.00
loop_
_atom_site_label
_atom_site_fract_x
_atom_site_fract_y
_atom_site_fract_z
Na1 0.0000 0.0000 0.0000
Na2 0.0000 0.0000 0.5000
Na3 0.3333 0.6667 0.1132
Na4 0.3333 0.6667 0.6132
Fe1 0.0000 0.0000 0.1463
Fe2 0.0000 0.0000 0.3531
Mo1 0.0318 0.5159 0.7526
Mo2 0.3333 0.6667 0.4277
Mo3 0.3333 0.6667 0.9270
O1 0.1536 0.3072 0.9081
O2 0.1562 0.3124 0.4060
O3 0.1610 0.3221 0.6960
O4 0.1629 0.3258 0.1970
O5 0.3333 0.6667 0.0087
O6 0.3333 0.6667 0.2962
O7 0.3333 0.6667 0.5094
O8 0.3333 0.6667 0.8177
# Total moment = 0.039 μB/atom
# Uncorrected formation energy = -1.87 eV/atom
# Volume = 584.4 Å³ per cell

Number 1: final energy -6.387 eV per atom. Number 2: final energy -3.799 eV per atom. Number 3: final energy -9.109 eV per atom. Number 4: final energy -3.712 eV per atom. Number 5: final energy -4.496 eV per atom. Number 6: final energy -5.774 eV per atom. Number 7: final energy -3.813 eV per atom. Number 8: final energy -8.216 eV per atom.